Model 1:
A plane-wave DFT calculation with GGA-PBE was carried out for a relaxed KHfTc2 crystal.

Values from the calculation:
**Size of the total moment**: 0.0 Bohr magnetons per cell
**Calculated volume**: 76.22 Å³/f.u.

a b c (Å): 4.759 4.759 4.759
angles (deg): 60.00 60.00 60.00
Positions (direct):
Tc1 0.750 0.750 0.750
Tc2 0.250 0.250 0.250
Hf1 0.500 0.500 0.500
K1 0.000 0.000 0.000

=====

Model 2:
A plane-wave DFT calculation with GGA-PBE was carried out for a relaxed KHfTc2 crystal.

Values from the calculation:
**Size of the total moment**: 0.0 Bohr magnetons per cell
**Calculated volume**: 107.30 Å³/f.u.

a b c (Å): 4.808 4.808 9.888
angles (deg): 75.93 75.93 90.00
Positions (direct):
Tc1 0.875 0.068 0.750
Tc2 0.818 0.125 0.250
Tc3 0.375 0.182 0.750
Tc4 0.932 0.625 0.250
K1 0.250 0.750 0.500
K2 0.500 0.500 0.000
Hf1 0.750 0.250 0.500
Hf2 0.000 0.000 0.000

=====

Going by the energies, model 1 is most stable and the next is 0.125 eV/atom up.

=====

Model 1:
A plane-wave DFT calculation with GGA-PBE was carried out for a relaxed KHf2Tc crystal.

Values from the calculation:
**Size of the total moment**: 0.0 Bohr magnetons per cell
**Calculated volume**: 158.88 Å³/f.u.

a b c (Å): 6.742 6.742 8.462
angles (deg): 66.52 66.52 90.00
Positions (direct):
Tc1 0.000 0.000 0.000
Tc2 0.750 0.250 0.500
Hf1 0.875 0.625 0.250
Hf2 0.875 0.125 0.750
Hf3 0.875 0.125 0.250
Hf4 0.375 0.125 0.750
K1 0.500 0.500 0.000
K2 0.250 0.750 0.500

=====

Model 2:
A plane-wave DFT calculation with GGA-PBE was carried out for a relaxed KHf2Tc crystal.

Values from the calculation:
**Size of the total moment**: 0.0 Bohr magnetons per cell
**Calculated volume**: 83.34 Å³/f.u.

a b c (Å): 4.903 4.903 4.903
angles (deg): 60.00 60.00 60.00
Positions (direct):
Tc1 0.500 0.500 0.500
Hf1 0.750 0.750 0.750
Hf2 0.250 0.250 0.250
K1 0.000 0.000 0.000

=====

Going by the energies, model 2 is most stable and the next is 0.402 eV/atom up.

=====

Model 1:
A plane-wave DFT calculation with GGA-PBE was carried out for a relaxed KHf3Te crystal.

Values from the calculation:
**Size of the total moment**: 0.0 Bohr magnetons per cell
**Calculated volume**: 157.02 Å³/f.u.

a b c (Å): 5.395 5.395 5.395
angles (deg): 90.00 90.00 90.00
Positions (direct):
Hf1 0.000 0.500 0.000
Hf2 0.500 0.000 0.000
Hf3 0.000 0.000 0.500
Te1 0.000 0.000 0.000
K1 0.500 0.500 0.500

=====

Model 2:
A plane-wave DFT calculation with GGA-PBE was carried out for a relaxed KHf3Te crystal.

Values from the calculation:
**Size of the total moment**: 0.0 Bohr magnetons per cell
**Calculated volume**: 127.38 Å³/f.u.

a b c (Å): 5.032 5.032 5.032
angles (deg): 90.00 90.00 90.00
Positions (direct):
Hf1 0.500 0.000 0.000
Hf2 0.000 0.000 0.500
Hf3 0.000 0.500 0.000
Te1 0.500 0.500 0.500
K1 0.000 0.000 0.000

=====

Going by the energies, model 1 is most stable and the next is 1.057 eV/atom up.

=====

Model 1:
A plane-wave DFT calculation with GGA-PBE was carried out for a relaxed K3HfTe crystal.

Values from the calculation:
**Size of the total moment**: 3.0 Bohr magnetons per cell
**Calculated volume**: 289.73 Å³/f.u.

a b c (Å): 6.617 6.617 6.617
angles (deg): 90.00 90.00 90.00
Last column: magnetic moment on the atom in μB.
Positions (direct):
K1 0.000 0.000 0.500  0.01
K2 0.500 0.000 0.000  0.01
K3 0.000 0.500 0.000  0.01
Hf1 0.500 0.500 0.500  1.47
Te1 0.000 0.000 0.000  0.01

=====

Model 2:
A plane-wave DFT calculation with GGA-PBE was carried out for a relaxed K3HfTe crystal.

Values from the calculation:
**Size of the total moment**: 3.0 Bohr magnetons per cell
**Calculated volume**: 264.87 Å³/f.u.

a b c (Å): 6.422 6.422 6.422
angles (deg): 90.00 90.00 90.00
Last column: magnetic moment on the atom in μB.
Positions (direct):
Te1 0.500 0.500 0.500  -0.10
K1 0.000 0.500 0.000  0.04
K2 0.000 0.000 0.500  0.05
K3 0.500 0.000 0.000  0.03
Hf1 0.000 0.000 0.000  1.64

=====

Going by the energies, model 1 is most stable and the next is 0.409 eV/atom up.

=====

Model 1:
A plane-wave DFT calculation with GGA-PBE was carried out for a relaxed KHfTi2 crystal.

Values from the calculation:
**Size of the total moment**: 4.0 Bohr magnetons per cell
**Calculated volume**: 94.61 Å³/f.u.

a b c (Å): 5.115 5.115 5.115
angles (deg): 60.00 60.00 60.00
Last column: magnetic moment on the atom in μB.
Positions (direct):
K1 0.000 0.000 0.000  0.03
Hf1 0.500 0.500 0.500  0.68
Ti1 0.250 0.250 0.250  1.07
Ti2 0.750 0.750 0.750  1.07

=====

Model 2:
A plane-wave DFT calculation with GGA-PBE was carried out for a relaxed KHfTi2 crystal.

Values from the calculation:
**Size of the total moment**: 4.9 Bohr magnetons per cell
**Calculated volume**: 98.46 Å³/f.u.

a b c (Å): 4.380 4.380 10.720
angles (deg): 78.21 78.21 90.00
Last column: magnetic moment on the atom in μB.
Positions (direct):
K1 0.500 0.500 0.000  0.01
K2 0.250 0.750 0.500  0.01
Ti1 0.076 0.625 0.250  0.94
Ti2 0.875 0.924 0.750  0.94
Ti3 0.375 0.326 0.750  0.95
Ti4 0.674 0.125 0.250  0.96
Hf1 0.750 0.250 0.500  0.05
Hf2 0.000 0.000 0.000  0.05

=====

Going by the energies, model 1 is most stable and the next is 0.263 eV/atom up.

=====

Model 1:
A plane-wave DFT calculation with GGA-PBE was carried out for a relaxed KHf2Ti crystal.

Values from the calculation:
**Size of the total moment**: 3.4 Bohr magnetons per cell
**Calculated volume**: 96.36 Å³/f.u.

a b c (Å): 5.146 5.146 5.146
angles (deg): 60.00 60.00 60.00
Last column: magnetic moment on the atom in μB.
Positions (direct):
Hf1 0.750 0.750 0.750  0.46
Hf2 0.250 0.250 0.250  0.46
Ti1 0.500 0.500 0.500  1.37
K1 0.000 0.000 0.000  0.03

=====

Model 2:
A plane-wave DFT calculation with GGA-PBE was carried out for a relaxed KHf2Ti crystal.

Values from the calculation:
**Size of the total moment**: 0.0 Bohr magnetons per cell
**Calculated volume**: 162.70 Å³/f.u.

a b c (Å): 6.951 6.951 8.338
angles (deg): 65.37 65.37 90.00
Positions (direct):
Hf1 0.875 0.125 0.750
Hf2 0.875 0.125 0.250
Hf3 0.875 0.625 0.250
Hf4 0.375 0.125 0.750
Ti1 0.000 0.000 0.000
Ti2 0.750 0.250 0.500
K1 0.500 0.500 0.000
K2 0.250 0.750 0.500

=====

Going by the energies, model 1 is most stable and the next is 0.580 eV/atom up.

=====

Model 1:
A plane-wave DFT calculation with GGA-PBE was carried out for a relaxed KHfTl crystal.

Values from the calculation:
**Size of the total moment**: 0.0 Bohr magnetons per cell
**Calculated volume**: 86.27 Å³/f.u.

a b c (Å): 5.528 5.528 3.260
angles (deg): 90.00 90.00 120.00
Positions (direct):
K1 0.667 0.333 0.500
Hf1 0.333 0.667 0.000
Tl1 0.000 0.000 0.000

=====

Model 2:
A plane-wave DFT calculation with GGA-PBE was carried out for a relaxed KHfTl crystal.

Values from the calculation:
**Size of the total moment**: 0.0 Bohr magnetons per cell
**Calculated volume**: 101.19 Å³/f.u.

a b c (Å): 5.231 5.231 5.231
angles (deg): 60.00 60.00 60.00
Positions (direct):
Hf1 0.750 0.750 0.750
Tl1 0.000 0.000 0.000
K1 0.250 0.250 0.250

=====

Going by the energies, model 1 is most stable and the next is 0.308 eV/atom up.

=====

Model 1:
A plane-wave DFT calculation with GGA-PBE was carried out for a relaxed KHfV2 crystal.

Values from the calculation:
**Size of the total moment**: 0.0 Bohr magnetons per cell
**Calculated volume**: 104.29 Å³/f.u.

a b c (Å): 4.594 4.594 10.404
angles (deg): 77.24 77.24 90.00
Positions (direct):
V1 0.829 0.125 0.250
V2 0.375 0.171 0.750
V3 0.875 0.079 0.750
V4 0.921 0.625 0.250
K1 0.500 0.500 0.000
K2 0.250 0.750 0.500
Hf1 0.750 0.250 0.500
Hf2 0.000 0.000 0.000

=====

Model 2:
A plane-wave DFT calculation with GGA-PBE was carried out for a relaxed KHfV2 crystal.

Values from the calculation:
**Size of the total moment**: 6.2 Bohr magnetons per cell
**Calculated volume**: 89.05 Å³/f.u.

a b c (Å): 5.012 5.012 5.012
angles (deg): 60.00 60.00 60.00
Last column: magnetic moment on the atom in μB.
Positions (direct):
V1 0.750 0.750 0.750  2.31
V2 0.250 0.250 0.250  2.31
Hf1 0.500 0.500 0.500  0.32
K1 0.000 0.000 0.000  0.04

=====

Going by the energies, model 2 is most stable and the next is 0.276 eV/atom up.